Entry from Alexandria via LeMat-Bulk: crystalline RbRh at its relaxed geometry (PBE).

Lattice parameters (Å, degrees): 8.372 8.372 8.372 109.47 109.47 109.47
Atoms (fractional coordinates):
Rb: 0.000 0.000 0.572
Rb: 0.000 0.572 0.000
Rb: 0.428 0.428 0.428
Rb: 0.572 0.000 0.000
Rh: 0.000 0.000 0.188
Rh: 0.000 0.188 0.000
Rh: 0.188 0.000 0.000
Rh: 0.812 0.812 0.812

The energy comes out at -3.2125 eV per atom. The calculation puts the total magnetization at 5.30 Bohr magnetons per cell.